[1]
Density functional theory data (GGA-PBE) for crystalline Er5Sc6 at its relaxed geometry.

Summary:
Final energy in eV/cell: -59.06
Formation enthalpy at 0 K in eV/atom: 0.16

a b c (Å): 8.4301 7.5741 6.0446
angles (deg): 80.19 72.17 56.19
Atoms (fractional coordinates):
Er 0.5000 0.0000 0.5000
Er 0.3653 0.2694 0.0000
Er 0.6347 0.7306 0.0000
Er 0.2365 0.5270 0.5000
Er 0.7635 0.4730 0.5000
Sc 0.8452 0.0000 0.6939
Sc 0.1548 0.0000 0.3061
Sc 0.2962 0.7528 0.8281
Sc 0.9510 0.7528 0.1719
Sc 0.7038 0.2472 0.1719
Sc 0.0490 0.2472 0.8281

---

[2]
Density functional theory data (GGA-PBE) for crystalline Er3Sc7 at its relaxed geometry.

Summary:
Final energy in eV/cell: -57.43
Formation enthalpy at 0 K in eV/atom: 0.06

a b c (Å): 5.2442 6.6249 9.4066
angles (deg): 121.69 106.19 90.00
Atoms (fractional coordinates):
Er 0.0000 0.0000 0.0000
Er 0.7886 0.4269 0.5772
Er 0.2114 0.5731 0.4228
Sc 0.0000 0.5000 0.0000
Sc 0.7895 0.9371 0.5790
Sc 0.2105 0.0629 0.4210
Sc 0.5965 0.3996 0.1931
Sc 0.4035 0.6004 0.8069
Sc 0.5980 0.8896 0.1960
Sc 0.4020 0.1104 0.8040

---

[3]
Density functional theory data (GGA-PBE) for crystalline Er3Sc7 at its relaxed geometry.

Summary:
Final energy in eV/cell: -111.92
Formation enthalpy at 0 K in eV/atom: 0.21

a b c (Å): 5.8988 10.1820 10.1820
angles (deg): 120.00 90.00 90.00
Atoms (fractional coordinates):
Er 0.8638 0.2056 0.4113
Er 0.8638 0.2056 0.7944
Er 0.8638 0.5887 0.7944
Er 0.3638 0.7944 0.5887
Er 0.3638 0.7944 0.2056
Er 0.3638 0.4113 0.2056
Sc 0.0078 0.6667 0.3333
Sc 0.5078 0.3333 0.6667
Sc 0.8804 0.8817 0.7635
Sc 0.8804 0.8817 0.1183
Sc 0.8804 0.2365 0.1183
Sc 0.3804 0.1183 0.2365
Sc 0.3804 0.1183 0.8817
Sc 0.3804 0.7635 0.8817
Sc 0.2226 0.4698 0.9396
Sc 0.2226 0.4698 0.5302
Sc 0.2226 0.0604 0.5302
Sc 0.7226 0.5302 0.0604
Sc 0.7226 0.5302 0.4698
Sc 0.7226 0.9396 0.4698

---

[4]
Density functional theory data (GGA-PBE) for crystalline Er3Sc at its relaxed geometry.

Summary:
Final energy in eV/cell: -19.85
Formation enthalpy at 0 K in eV/atom: 0.04

a b c (Å): 4.8731 4.8731 4.8731
angles (deg): 90.00 90.00 90.00
Atoms (fractional coordinates):
Sc 0.0000 0.0000 0.0000
Er 0.0000 0.5000 0.5000
Er 0.5000 0.0000 0.5000
Er 0.5000 0.5000 0.0000

---

[5]
Density functional theory data (GGA-PBE) for crystalline ErSc at its relaxed geometry.

Summary:
Final energy in eV/cell: -21.64
Formation enthalpy at 0 K in eV/atom: 0.04

a b c (Å): 3.3502 5.2152 6.5178
angles (deg): 90.04 104.89 90.00
Atoms (fractional coordinates):
Er 0.8296 0.7497 0.6591
Er 0.1704 0.2503 0.3409
Sc 0.5625 0.7502 0.1250
Sc 0.4375 0.2498 0.8750

---

[6]
Density functional theory data (GGA-PBE) for crystalline Er8Sc3 at its relaxed geometry.

Summary:
Final energy in eV/cell: -49.94
Formation enthalpy at 0 K in eV/atom: 0.51

a b c (Å): 6.9333 6.9333 6.9333
angles (deg): 84.65 84.65 84.65
Atoms (fractional coordinates):
Er 0.8776 0.3085 0.1537
Er 0.3085 0.1537 0.8776
Er 0.1537 0.8776 0.3085
Er 0.3791 0.3791 0.3791
Er 0.6209 0.6209 0.6209
Er 0.8463 0.1224 0.6915
Er 0.6915 0.8463 0.1224
Er 0.1224 0.6915 0.8463
Sc 0.5000 0.0000 0.5000
Sc 0.0000 0.5000 0.5000
Sc 0.5000 0.5000 0.0000

---

[7]
Density functional theory data (GGA-PBE) for crystalline ErSc2 at its relaxed geometry.

Summary:
Final energy in eV/cell: -34.36
Formation enthalpy at 0 K in eV/atom: 0.02

a b c (Å): 5.8919 5.8919 6.2898
angles (deg): 90.04 117.80 120.10
Atoms (fractional coordinates):
Er 0.6623 0.9123 0.7500
Er 0.3377 0.0877 0.2500
Sc 0.0054 0.5839 0.7535
Sc 0.9946 0.4161 0.2465
Sc 0.3304 0.2518 0.7465
Sc 0.6696 0.7482 0.2535

---

[8]
Density functional theory data (GGA-PBE) for crystalline Er2Sc at its relaxed geometry.

Summary:
Final energy in eV/cell: -15.32
Formation enthalpy at 0 K in eV/atom: 0.04

a b c (Å): 3.4402 3.4402 7.6048
angles (deg): 103.07 103.07 90.00
Atoms (fractional coordinates):
Sc 0.0000 0.0000 0.0000
Er 0.6622 0.6622 0.3244
Er 0.3378 0.3378 0.6756